[1]
Computed, not measured: a geometry-optimized AlHgBi2 structure at the PBE level of DFT.

The density of states at the Fermi level comes out at 1.530 states/eV/f.u. The value obtained for the distance to the lowest polymorph of the same formula is 9 meV/atom.

The space group is R-3m (No. 166, hexagonal axes) and the conventional cell measures 3.5389, 3.5389 and 35.1568 Å, with angles of 90.00, 90.00 and 120.00 degrees. Symmetry generates all atoms from Al at (0.0000, 0.0000, 0.0000), Hg at (0.0000, 0.0000, 0.5000) and Bi at (0.0000, 0.0000, 0.3954).

=====

[2]
Computed, not measured: a geometry-optimized GaBiAsPt2 structure at the PBE level of DFT.

The density of states at the Fermi level comes out at 5.326 states/eV/f.u.

The space group is P4/mmm (No. 123) and the conventional cell measures 5.131, 5.131 and 5.323 Å, with angles of 90.00, 90.00 and 90.00 degrees. Symmetry generates all atoms from Ga at (0.000, 0.000, 0.000), Bi at (0.000, 0.000, 0.500), As at (0.500, 0.500, 0.000) and Pt at (0.000, 0.500, 0.500).

=====

Results for total moment: 0.00; 0.00 (in μB/atom, following the order of the records).
Results for ρ: 8.4; 8.8 (in Mg/m³, following the order of the records).
Results for total DFT energy (no corrections): -33.81; -18.05 (in eV for the cell shown, following the order of the records).